# 1
DFT (PBE) results for a relaxed CsRbTl crystal.

* total magnetic moment: 0.00 μB/atom
* energy of formation from the pure elements: -17 kJ/mol of formula units
* energy relative to the lowest polymorph listed for this composition: 0.000 eV/atom

abc: 7.539 5.479 10.190
angles: 90.00 99.02 90.00
Space group P2_1/m (No. 11)
Symmetry-distinct sites (fractional):
Cs (0.199, 0.250, 0.333) (multiplicity 2)
Rb (0.352, 0.250, 0.845) (multiplicity 2)
Tl (0.100, 0.750, 0.031) (multiplicity 2)

# 2
DFT (PBE) results for a relaxed SrNd4Sm crystal.

* total magnetic moment: 0.00 μB/atom
* energy of formation from the pure elements: 132 kJ/mol of formula units

abc: 9.776 9.776 9.776
angles: 90.00 90.00 90.00
Space group F-43m (No. 216)
Symmetry-distinct sites (fractional):
Sr (0.000, 0.000, 0.000) (multiplicity 4)
Nd (0.122, 0.122, 0.378) (multiplicity 16)
Sm (0.250, 0.250, 0.750) (multiplicity 4)

# 3
DFT (PBE) results for a relaxed TmZn2Ag2 crystal.

* total magnetic moment: 0.00 μB/atom
* energy of formation from the pure elements: -86 kJ/mol of formula units
* energy relative to the lowest polymorph listed for this composition: 0.000 eV/atom

abc: 5.786 5.783 6.471
angles: 90.00 116.42 90.00
Space group C2/m (No. 12)
Symmetry-distinct sites (fractional):
Tm (0.000, 0.000, 0.000) (multiplicity 2)
Zn (0.104, 0.500, 0.208) (multiplicity 4)
Ag (0.000, 0.250, 0.500) (multiplicity 4)

# 4
DFT (PBE) results for a relaxed K2SrSiO4 crystal.

* uncorrected formation energy: -2081 meV per atom
* total magnetic moment: 0.00 μB/atom

abc: 5.859 11.685 25.615
angles: 90.00 90.00 90.00
Space group Fddd (No. 70, origin choice 2)
Symmetry-distinct sites (fractional):
K (0.125, 0.125, 0.328) (multiplicity 16)
Sr (0.125, 0.125, 0.125) (multiplicity 8)
Si (0.125, 0.125, 0.625) (multiplicity 8)
O (0.045, 0.287, 0.841) (multiplicity 32)